A plane-wave DFT calculation with GGA+U was carried out for KMn2O4 after structural relaxation.

Unit cell a=6.6099 b=6.6099 c=10.6151 alpha=94.02 beta=94.02 gamma=25.89
With the nearest neighbours (Å) after each atom.
Element x y z (fractional)
K (0.0000, 0.0000, 0.0000)  6 O 2.63-2.80
K (0.0105, 0.0105, 0.5141)  5 O 2.66-2.98, 2 K 2.96
Mn (0.2417, 0.2417, 0.3671)  4 O 1.96-2.00
Mn (0.2577, 0.2577, 0.8745)  6 O 1.92-1.99
Mn (0.7435, 0.7435, 0.1167)  6 O 1.92-2.01
Mn (0.7682, 0.7682, 0.6253)  4 O 1.96-2.01
O (0.1608, 0.1608, 0.1678)  2 Mn 1.93
O (0.1914, 0.1914, 0.7062)  3 Mn 1.92-2.01
O (0.3261, 0.3261, 0.0487)  3 Mn 1.99
O (0.3437, 0.3437, 0.5525)  2 Mn 1.96
O (0.6687, 0.6687, 0.4440)  2 Mn 1.96
O (0.6744, 0.6744, 0.9413)  3 Mn 1.99-2.01
O (0.8138, 0.8138, 0.2820)  3 Mn 1.92-2.00
O (0.8416, 0.8416, 0.8248)  2 Mn 1.93

## Properties
The energy relative to the lowest polymorph listed for this composition comes out at 0.10 eV per formula unit. For the size of the total moment, the calculation gives 1.000 μB/atom. The space group is No. 8.